a) A relaxed structure of Sm2PdSe, computed with GGA-PBE.

a b c (Å): 4.0828 4.0828 7.6392
angles (deg): 74.50 74.50 60.00
Atoms (fractional coordinates):
Sm 0.7456 0.7456 0.7631
Sm 0.2544 0.2544 0.2369
Se 0.5000 0.5000 0.5000
Pd 0.0000 0.0000 0.0000

Computed properties:
M_tot (μB per formula unit): 0.000
Crystal system: trigonal

---

b) A relaxed structure of Sm2PdSe, computed with GGA-PBE.

a b c (Å): 4.3375 3.9781 11.7840
angles (deg): 99.72 90.00 90.00
Atoms (fractional coordinates):
Pd 0.7500 0.5424 0.0847
Pd 0.2500 0.4576 0.9153
Sm 0.2500 0.0638 0.1276
Sm 0.7500 0.6827 0.3655
Sm 0.7500 0.9362 0.8724
Sm 0.2500 0.3173 0.6345
Se 0.2500 0.1910 0.3821
Se 0.7500 0.8090 0.6179

Computed properties:
M_tot (μB per formula unit): 0.000
Crystal system: orthorhombic

---

The relative energies come out as a) 72; b) 0, with values in meV per atom.

---

a) A relaxed structure of SnPd3Se, computed with GGA-PBE.

a b c (Å): 4.7488 4.7488 4.7488
angles (deg): 90.00 90.00 90.00
Atoms (fractional coordinates):
Pd 0.5000 0.0000 0.0000
Pd 0.0000 0.5000 0.0000
Pd 0.0000 0.0000 0.5000
Se 0.0000 0.0000 0.0000
Sn 0.5000 0.5000 0.5000

Computed properties:
M_tot (μB per formula unit): 0.000
Crystal system: cubic

---

b) A relaxed structure of SnPd3Se, computed with GGA-PBE.

a b c (Å): 4.9393 4.9393 4.9393
angles (deg): 90.00 90.00 90.00
Atoms (fractional coordinates):
Sn 0.0000 0.0000 0.0000
Pd 0.0000 0.0000 0.5000
Pd 0.5000 0.0000 0.0000
Pd 0.0000 0.5000 0.0000
Se 0.5000 0.5000 0.5000

Computed properties:
M_tot (μB per formula unit): 0.000
Crystal system: cubic

---

The relative energies come out as a) 0; b) 577, with values in meV per atom.

---

a) A relaxed structure of SnPdSe4, computed with GGA-PBE.

a b c (Å): 7.0216 6.4632 6.5089
angles (deg): 90.00 89.36 90.00
Atoms (fractional coordinates):
Se 0.1015 0.4240 0.8646
Se 0.6139 0.6245 0.5673
Se 0.1139 0.8755 0.5673
Se 0.6015 0.0760 0.8646
Se 0.3861 0.3755 0.4327
Se 0.3985 0.9240 0.1354
Se 0.8985 0.5760 0.1354
Se 0.8861 0.1245 0.4327
Pd 0.5000 0.0000 0.5000
Pd 0.0000 0.5000 0.5000
Sn 0.0000 0.0000 0.0000
Sn 0.5000 0.5000 0.0000

Computed properties:
M_tot (μB per formula unit): 0.000
Crystal system: monoclinic

---

b) A relaxed structure of SnPdSe4, computed with GGA-PBE.

a b c (Å): 3.8528 6.6226 5.6728
angles (deg): 86.97 90.00 90.00
Atoms (fractional coordinates):
Se 0.0000 0.8640 0.2599
Se 0.5000 0.3282 0.2291
Se 0.0000 0.1360 0.7401
Se 0.5000 0.6718 0.7709
Pd 0.5000 0.0000 0.5000
Sn 0.0000 0.5000 0.5000

Computed properties:
M_tot (μB per formula unit): 0.000
Crystal system: monoclinic

---

The relative energies come out as a) 90; b) 0, with values in meV per atom.

---

a) A relaxed structure of Sn2Pd2Se, computed with GGA-PBE.

a b c (Å): 8.2582 8.2582 2.9991
angles (deg): 90.00 90.00 90.00
Atoms (fractional coordinates):
Pd 0.3819 0.1181 0.5000
Pd 0.6181 0.8819 0.5000
Pd 0.1181 0.6181 0.5000
Pd 0.8819 0.3819 0.5000
Sn 0.6772 0.1772 0.0000
Sn 0.3228 0.8228 0.0000
Sn 0.1772 0.3228 0.0000
Sn 0.8228 0.6772 0.0000
Se 0.5000 0.5000 0.0000
Se 0.0000 0.0000 0.0000

Computed properties:
M_tot (μB per formula unit): 0.000
Crystal system: tetragonal

---

b) A relaxed structure of Sn2Pd2Se, computed with GGA-PBE.

a b c (Å): 4.0382 4.0382 7.1947
angles (deg): 73.70 73.70 90.00
Atoms (fractional coordinates):
Sn 0.3914 0.3914 0.2173
Sn 0.6086 0.6086 0.7827
Se 0.0000 0.0000 0.0000
Pd 0.7500 0.2500 0.5000
Pd 0.2500 0.7500 0.5000

Computed properties:
M_tot (μB per formula unit): 0.000
Crystal system: tetragonal

---

c) A relaxed structure of Sn2Pd2Se, computed with GGA-PBE.

a b c (Å): 7.3794 7.3794 3.7464
angles (deg): 90.00 90.00 90.00
Atoms (fractional coordinates):
Pd 0.8635 0.6365 0.0000
Pd 0.6365 0.1365 0.0000
Pd 0.3635 0.8635 0.0000
Pd 0.1365 0.3635 0.0000
Se 0.0000 0.0000 0.0000
Se 0.5000 0.5000 0.0000
Sn 0.6610 0.8390 0.5000
Sn 0.8390 0.3390 0.5000
Sn 0.3390 0.1610 0.5000
Sn 0.1610 0.6610 0.5000

Computed properties:
M_tot (μB per formula unit): 0.000
Crystal system: tetragonal

---

The relative energies come out as a) 109; b) 86; c) 0, with values in meV per atom.

---

a) A relaxed structure of SrPdSe2, computed with GGA-PBE.

a b c (Å): 8.0617 8.0617 8.0617
angles (deg): 34.60 34.60 34.60
Site moments in Bohr magnetons follow the coordinates.
Atoms (fractional coordinates):
Se 0.1038 0.1038 0.1038  0.27
Se 0.8962 0.8962 0.8962  0.27
Sr 0.5000 0.5000 0.5000  0.03
Pd 0.0000 0.0000 0.0000  0.77

Computed properties:
M_tot (μB per formula unit): 1.876
Crystal system: trigonal

---

b) A relaxed structure of SrPdSe2, computed with GGA-PBE.

a b c (Å): 5.6744 5.6744 8.4541
angles (deg): 70.39 70.39 90.00
Atoms (fractional coordinates):
Sr 0.2500 0.7500 0.5000
Sr 0.5000 0.5000 0.0000
Se 0.8750 0.9658 0.7500
Se 0.3750 0.2842 0.7500
Se 0.7158 0.1250 0.2500
Se 0.0342 0.6250 0.2500
Pd 0.7500 0.2500 0.5000
Pd 0.0000 0.0000 0.0000

Computed properties:
M_tot (μB per formula unit): 0.000
Crystal system: tetragonal

---

The relative energies come out as a) 286; b) 0, with values in meV per atom.

---

a) A relaxed structure of Sr2Pd2Se, computed with GGA-PBE.

a b c (Å): 7.7369 7.7369 4.1624
angles (deg): 90.00 90.00 90.00
Atoms (fractional coordinates):
Sr 0.8167 0.3167 0.5000
Sr 0.6833 0.8167 0.5000
Sr 0.3167 0.1833 0.5000
Sr 0.1833 0.6833 0.5000
Se 0.5000 0.5000 0.0000
Se 0.0000 0.0000 0.0000
Pd 0.1222 0.3778 0.0000
Pd 0.3778 0.8778 0.0000
Pd 0.8778 0.6222 0.0000
Pd 0.6222 0.1222 0.0000

Computed properties:
M_tot (μB per formula unit): 0.000
Crystal system: tetragonal

---

b) A relaxed structure of Sr2Pd2Se, computed with GGA-PBE.

a b c (Å): 3.8882 3.8882 8.8787
angles (deg): 77.35 77.35 90.00
Atoms (fractional coordinates):
Pd 0.2500 0.7500 0.5000
Pd 0.7500 0.2500 0.5000
Sr 0.6069 0.6069 0.7862
Sr 0.3931 0.3931 0.2138
Se 0.0000 0.0000 0.0000

Computed properties:
M_tot (μB per formula unit): 0.000
Crystal system: tetragonal

---

c) A relaxed structure of Sr2Pd2Se, computed with GGA-PBE.

a b c (Å): 8.2030 8.2030 4.2542
angles (deg): 90.00 90.00 90.00
Atoms (fractional coordinates):
Sr 0.8241 0.6759 0.0000
Sr 0.6759 0.1759 0.0000
Sr 0.3241 0.8241 0.0000
Sr 0.1759 0.3241 0.0000
Pd 0.8872 0.3872 0.5000
Pd 0.1128 0.6128 0.5000
Pd 0.3872 0.1128 0.5000
Pd 0.6128 0.8872 0.5000
Se 0.0000 0.0000 0.0000
Se 0.5000 0.5000 0.0000

Computed properties:
M_tot (μB per formula unit): 0.000
Crystal system: tetragonal

---

The relative energies come out as a) 161; b) 0; c) 366, with values in meV per atom.